Entry 1:
First-principles (PBE-GGA) data for a relaxed structure of Li2Ga2Cu7, as listed in Alexandria via LeMat-Bulk.

Cell lengths 7.3856, 8.5914, 5.0300 Å; angles 90.00, 109.76, 90.00 degrees
With the nearest neighbours (Å) after each atom.
Space group C2/m (No. 12)
Asymmetric unit:
Li: 0.2076 0.0000 0.0465 x4  7 Cu 2.60-2.81, 2 Ga 2.84
Ga: 0.0000 0.2978 0.0000 x4  6 Cu 2.42-2.53
Cu: 0.0000 0.0000 0.5000 x2  6 Cu 2.45-2.60, 2 Li 2.66
Cu: 0.1297 0.5000 0.3839 x4  2 Ga 2.53, 6 Cu 2.56-2.66, 2 Li 2.71-2.81
Cu: 0.1681 0.2458 0.6718 x8  2 Ga 2.42-2.48, 5 Cu 2.42-2.66, 1 Li 2.60

- V: 300.4 Å³/cell
- Excess energy over the best structure of this formula in the dataset: 0.004 eV/atom
- Spin magnetization: 0.00 μB/f.u.

Entry 2:
First-principles (PBE-GGA) data for a relaxed structure of Ti4PbS8, as listed in Alexandria via LeMat-Bulk.

Cell lengths 6.8552, 6.8552, 21.4966 Å; angles 90.00, 90.00, 120.00 degrees
With the nearest neighbours (Å) after each atom.
Space group R-3m (No. 166, hexagonal axes)
Asymmetric unit:
Ti: 0.0000 0.0000 0.0000 x3  6 S 2.44
Ti: 0.0000 0.5000 0.0000 x9  6 S 2.44-2.46
Pb: 0.0000 0.0000 0.5000 x3  6 S 2.92
S: 0.0000 0.0000 0.2673 x6  3 Ti 2.44
S: 0.0021 0.5010 0.7342 x18  3 Ti 2.44-2.46

- V: 874.9 Å³/cell
- Formation energy without anion corrections: -15.9 eV/f.u.
- Spin magnetization: 0.00 μB/f.u.

Entry 3:
First-principles (PBE-GGA) data for a relaxed structure of ZnReCl2, as listed in Alexandria via LeMat-Bulk.

Cell lengths 4.4812, 4.4812, 6.3884 Å; angles 90.00, 90.00, 90.00 degrees
With the nearest neighbours (Å) after each atom.
Space group I4/mmm (No. 139)
Asymmetric unit:
Zn: 0.0000 0.0000 0.0000 x2  8 Cl 2.75
Re: 0.0000 0.0000 0.5000 x2  8 Cl 2.75
Cl: 0.0000 0.5000 0.2500 x4  4 Re 2.75, 4 Zn 2.75

- V: 128.3 Å³/cell
- Formation energy without anion corrections: 4.0 eV/f.u.
- Excess energy over the best structure of this formula in the dataset: 1.023 eV/atom
- Spin magnetization: 0.00 μB/f.u.

Entry 4:
First-principles (PBE-GGA) data for a relaxed structure of LiHo2USe5, as listed in Alexandria via LeMat-Bulk.

Cell lengths 4.0316, 16.9398, 12.4326 Å; angles 90.00, 90.00, 90.00 degrees
With the nearest neighbours (Å) after each atom.
Space group Cmc2_1 (No. 36)
Asymmetric unit:
Li: 0.0000 0.0183 0.0000 x4  4 Se 2.42-2.59
Ho: 0.0000 0.3735 0.8171 x4  6 Se 2.92-3.17
Ho: 0.0000 0.3917 0.2117 x4  8 Se 2.96-3.10
U: 0.0000 0.3011 0.5292 x4  6 Se 2.73-2.87
Se: 0.0000 0.0017 0.3071 x4  1 Li 2.42
Se: 0.0000 0.1331 0.5283 x4  1 Li 2.59, 1 U 2.85
Se: 0.0000 0.1896 0.8649 x4  2 U 2.87, 3 Ho 3.10-3.17
Se: 0.0000 0.2138 0.1926 x4  2 U 2.87, 3 Ho 2.94-3.02
Se: 0.0000 0.4538 0.6003 x4  2 Li 2.42

- V: 849.1 Å³/cell
- Formation energy without anion corrections: -12.9 eV/f.u.
- Spin magnetization: 2.78 μB/f.u.

Theoretical density values (in Mg/m³) by entry order: 6.6 3.7 8.3 7.6.